Crystalline BaZn4Ga3 at its relaxed geometry. Source: Alexandria via LeMat-Bulk, functional PBE-GGA.

Computed properties:
Final energy in hartree per atom: -0.0809
DOS(E_F) in states/eV per cell: 6.01
Magnetization in μB per formula unit: 0.00

a = 4.505 Å, b = 4.505 Å, c = 8.213 Å
α = 90.00°, β = 90.00°, γ = 90.00°
Space group P4/mmm (No. 123)
Unique sites:
Ba  0.000  0.000  0.000
Zn  0.000  0.500  0.328
Ga  0.000  0.000  0.500
Ga  0.500  0.500  0.161

Crystalline Y2MgTa at its relaxed geometry. Source: Alexandria via LeMat-Bulk, functional PBE-GGA.

Computed properties:
Final energy in hartree per atom: -0.2298
DOS(E_F) in states/eV per cell: 12.02
Magnetization in μB per formula unit: 0.00

a = 4.572 Å, b = 4.572 Å, c = 9.471 Å
α = 90.00°, β = 90.00°, γ = 90.00°
Space group I-4m2 (No. 119)
Unique sites:
Y  0.000  0.000  0.000
Y  0.000  0.500  0.250
Mg  0.000  0.500  0.750
Ta  0.000  0.000  0.500

Crystalline Be2Co5Re2Si at its relaxed geometry. Source: Alexandria via LeMat-Bulk, functional PBE-GGA.

Computed properties:
ΔE_f (raw) in eV per atom: -0.196
DOS(E_F) in states/eV per cell: 15.24
Magnetization in μB per formula unit: 2.45

a = 8.866 Å, b = 8.866 Å, c = 2.700 Å
α = 90.00°, β = 90.00°, γ = 90.00°
Space group P4/mbm (No. 127)
Unique sites:
Be  0.127  0.373  0.000
Co  0.000  0.500  0.500
Co  0.052  0.202  0.500
Re  0.179  0.679  0.000
Si  0.000  0.000  0.000

Crystalline MgTaTi2B at its relaxed geometry. Source: Alexandria via LeMat-Bulk, functional PBE-GGA.

Computed properties:
Final energy in hartree per atom: -0.2664
DOS(E_F) in states/eV per cell: 3.50
Magnetization in μB per formula unit: 0.00

a = 4.347 Å, b = 4.347 Å, c = 4.417 Å
α = 90.00°, β = 90.00°, γ = 90.00°
Space group P4/mmm (No. 123)
Unique sites:
Mg  0.000  0.000  0.000
Ta  0.500  0.500  0.000
Ti  0.000  0.500  0.500
B  0.500  0.500  0.500

Crystalline HfScV at its relaxed geometry. Source: Alexandria via LeMat-Bulk, functional PBE-GGA.

Computed properties:
Final energy in hartree per atom: -0.3040
DOS(E_F) in states/eV per cell: 8.13
Magnetization in μB per formula unit: 1.86

a = 3.385 Å, b = 3.385 Å, c = 10.711 Å
α = 90.00°, β = 90.00°, γ = 90.00°
Space group I4mm (No. 107)
Unique sites:
Hf  0.000  0.000  0.000
Sc  0.000  0.000  0.293
V  0.000  0.000  0.635

Crystalline MgBeSb2 at its relaxed geometry. Source: Alexandria via LeMat-Bulk, functional PBE-GGA.

Computed properties:
ΔE_f (raw) in eV per atom: 0.381
DOS(E_F) in states/eV per cell: 11.48
Magnetization in μB per formula unit: 0.00

a = 7.012 Å, b = 7.012 Å, c = 7.012 Å
α = 90.00°, β = 90.00°, γ = 90.00°
Space group Fm-3m (No. 225)
Unique sites:
Mg  0.000  0.000  0.000
Be  0.000  0.000  0.500
Sb  0.250  0.250  0.250

What is the magnetization in the fifth record?
1.86 μB per formula unit